Entry 1:
# CaZrBrN2

CaZrBrN2 at its PBEsol-relaxed geometry (meta-GGA SCAN, the Alexandria database).

abc: 4.3927 4.3927 4.8131
angles: 90.00 90.00 90.00
Fractional coordinates of all 5 atoms:
Ca1 0.0000 0.0000 0.5000
N1 0.5000 0.0000 0.0000
N2 0.0000 0.5000 0.0000
Zr1 0.5000 0.5000 0.5000
Br1 0.0000 0.0000 0.0000

Computed properties:
Crystal system: tetragonal
Formation energy from raw total energies (eV/atom): 1.80
M_tot (μB/f.u.): 1.78



Entry 2:
# ZrAsRu2

ZrAsRu2 at its PBEsol-relaxed geometry (meta-GGA SCAN, the Alexandria database).

abc: 3.4115 4.2164 4.2164
angles: 90.00 90.00 90.00
Fractional coordinates of all 4 atoms:
Zr1 0.5000 0.5000 0.5000
Ru1 0.0000 0.5000 0.0000
Ru2 0.0000 0.0000 0.5000
As1 0.5000 0.0000 0.0000

Computed properties:
Crystal system: tetragonal
Energy of formation from the pure elements (eV per formula unit): -2.12
M_tot (μB/f.u.): 0.00



- Number 1 is which compound?
  CaZrBrN2